# 1
18
Lattice="2.3389 -10.1462 0.0000 2.3389 10.1462 0.0000 0.0000 0.0000 14.2040" Properties=species:S:1:pos:R:3 comment="Ba2CeCdTe5, relaxed, DFT PBE" raw_formation_energy_ev_per_atom=-1.29 space_group="No. 36" crystal_system=orthorhombic pbc="T T T"
Ba 2.3389 7.8575 7.1020
Ba 2.3389 7.6267 1.8443
Ba 2.3389 -7.6267 8.9463
Ba 2.3389 -7.8575 0.0000
Ce 2.3389 5.9766 11.7807
Ce 2.3389 -5.9766 4.6787
Cd 2.3389 1.1621 3.6689
Cd 2.3389 -1.1621 10.7709
Te 2.3389 9.0276 12.4068
Te 2.3389 4.2590 6.7311
Te 2.3389 3.9800 2.5583
Te 2.3389 2.9346 11.6203
Te 2.3389 0.0426 8.2666
Te 2.3389 -0.0426 1.1646
Te 2.3389 -2.9346 4.5183
Te 2.3389 -3.9800 9.6603
Te 2.3389 -4.2590 13.8331
Te 2.3389 -9.0276 5.3048


# 2
5
Lattice="5.0870 0.0000 0.0000 0.0000 5.0870 0.0000 0.0000 0.0000 4.3425" Properties=species:S:1:pos:R:3 comment="CoHg2IrBr, relaxed, DFT PBE" raw_formation_energy_ev_per_atom=1.18 space_group="No. 123" crystal_system=tetragonal pbc="T T T"
Co 0.0000 0.0000 0.0000
Hg 0.0000 2.5435 0.0000
Hg 2.5435 0.0000 0.0000
Ir 2.5435 2.5435 2.1713
Br 0.0000 0.0000 2.1713


# 3
14
Lattice="6.2294 0.0000 0.0000 3.0944 8.0044 0.0000 3.1086 -1.1876 9.3604" Properties=species:S:1:pos:R:3 comment="La4TmTl2, relaxed, DFT PBE" e_form_ev_per_atom=-0.08 space_group="No. 1" crystal_system=triclinic polymorph_energy_ev_per_atom=0.093 pbc="T T T"
La 0.0000 0.0000 0.0000
La 1.5254 -0.2129 4.2081
La 1.5282 2.5203 1.3947
La 7.4014 3.1850 9.0955
La 7.3884 5.9248 5.8664
La 6.2069 2.2944 5.6104
La 6.2381 6.8089 0.9888
La 9.3371 3.4860 4.6316
Tm 3.4900 1.3637 7.2349
Tm 6.6067 -0.2613 7.7415
Tl 5.8636 4.5535 3.1982
Tl 4.7079 1.1726 2.7865
Tl 8.9932 5.7371 2.4093
Tl 10.6187 4.5525 7.4899


# 4
8
Lattice="8.0641 0.0000 0.0000 0.0000 4.6601 0.0000 -2.8683 0.0000 7.7122" Properties=species:S:1:pos:R:3 comment="Ba2HoAgTe4, relaxed, DFT PBE" raw_formation_energy_ev_per_atom=-1.24 space_group="No. 10" crystal_system=monoclinic pbc="T T T"
Ba 0.0000 0.0000 0.0000
Ba -1.4341 2.3300 3.8561
Ho 2.5979 0.0000 3.8561
Ag 4.0320 2.3300 0.0000
Te 1.4989 2.3300 2.0885
Te 0.1997 0.0000 5.8687
Te 4.9961 0.0000 1.8435
Te 3.6969 2.3300 5.6237


Computed DFT total energy, in the same sequence as the records: -4.224; -2.472; -4.213; -4.222 eV/atom.